# 1
Density functional theory data (PBE) for CePrSbTe after structural relaxation.

```
CePrSbTe
1.0
2.260 1.305 7.431
-2.260 1.305 7.431
0.000 -2.610 7.431
Ce Pr Sb Te
1 1 1 1
Direct
0.000 0.000 0.000 Ce
0.495 0.495 0.495 Pr
0.747 0.747 0.747 Sb
0.249 0.249 0.249 Te
```

SG: R3m, No. 160
E above lowest polymorph: 0 meV/atom
Density of states at the Fermi level: 8.07 states/eV/f.u.
Energy: -5.79 eV per atom
Uncorrected formation energy: -5.18 eV per formula unit
Density: 6.70 Mg/m³

=====

# 2
Density functional theory data (PBE) for Ce3PrTh4Sb8 after structural relaxation.

```
Ce3PrTh4Sb8
1.0
4.512 2.605 7.375
-4.512 2.605 7.375
0.000 -5.209 7.375
Ce Pr Th Sb
3 1 4 8
Direct
0.000 0.500 0.500 Ce
0.500 0.000 0.500 Ce
0.500 0.500 0.000 Ce
0.000 0.000 0.000 Pr
0.000 0.000 0.500 Th
0.000 0.500 0.000 Th
0.500 0.000 0.000 Th
0.500 0.500 0.500 Th
0.250 0.250 0.250 Sb
0.251 0.251 0.748 Sb
0.251 0.748 0.251 Sb
0.252 0.749 0.749 Sb
0.748 0.251 0.251 Sb
0.749 0.252 0.749 Sb
0.749 0.749 0.252 Sb
0.750 0.750 0.750 Sb
```

SG: R-3m, No. 166
Density of states at the Fermi level: 27.32 states/eV/f.u.
Energy: -6.34 eV per atom
Uncorrected formation energy: -16.17 eV per formula unit
Density: 7.87 Mg/m³

=====

# 3
Density functional theory data (PBE) for CePr2ThSb5 after structural relaxation.

```
CePr2ThSb5
1.0
5.392 0.000 0.000
0.000 5.392 0.000
0.000 0.000 11.885
Ce Pr Th Sb
1 2 1 5
Direct
0.000 0.000 0.000 Ce
0.500 0.500 0.210 Pr
0.500 0.500 0.790 Pr
0.000 0.000 0.500 Th
0.000 0.000 0.251 Sb
0.000 0.000 0.749 Sb
0.000 0.500 0.000 Sb
0.500 0.000 0.000 Sb
0.500 0.500 0.500 Sb
```

SG: P4/mmm, No. 123
Density of states at the Fermi level: 4.95 states/eV/f.u.
Energy: -5.08 eV per atom
Uncorrected formation energy: -2.22 eV per formula unit
Density: 6.07 Mg/m³

=====

# 4
Density functional theory data (PBE) for CePrTh2Sb4 after structural relaxation.

```
CePrTh2Sb4
1.0
7.822 0.000 0.000
0.000 4.517 0.000
-2.612 0.000 7.390
Ce Pr Th Sb
1 1 2 4
Direct
0.000 0.000 0.000 Ce
0.000 0.500 0.500 Pr
0.500 0.000 0.500 Th
0.500 0.500 0.000 Th
0.250 0.500 0.249 Sb
0.252 0.000 0.752 Sb
0.748 0.000 0.248 Sb
0.750 0.500 0.751 Sb
```

SG: P2/m, No. 10
Density of states at the Fermi level: 10.71 states/eV/f.u.
Energy: -6.28 eV per atom
Uncorrected formation energy: -8.23 eV per formula unit
Density: 7.84 Mg/m³

=====

# 5
Density functional theory data (PBE) for Ce2PrThSb5 after structural relaxation.

```
Ce2PrThSb5
1.0
5.439 0.000 0.000
0.000 5.439 0.000
0.000 0.000 11.860
Ce Pr Th Sb
2 1 1 5
Direct
0.000 0.000 0.195 Ce
0.000 0.000 0.805 Ce
0.500 0.500 0.000 Pr
0.500 0.500 0.500 Th
0.000 0.000 0.500 Sb
0.000 0.500 0.000 Sb
0.500 0.000 0.000 Sb
0.500 0.500 0.253 Sb
0.500 0.500 0.747 Sb
```

SG: P4/mmm, No. 123
Density of states at the Fermi level: 17.52 states/eV/f.u.
Energy: -5.07 eV per atom
Uncorrected formation energy: -0.97 eV per formula unit
Density: 5.97 Mg/m³

=====

# 6
Density functional theory data (PBE) for Ce3Pr2TmSb6 after structural relaxation.

```
Ce3Pr2TmSb6
1.0
3.892 -6.743 0.000
3.892 6.743 0.000
-2.601 0.000 7.337
Ce Pr Tm Sb
3 2 1 6
Direct
0.000 0.000 0.000 Ce
0.330 0.670 0.000 Ce
0.670 0.330 0.000 Ce
0.166 0.834 0.500 Pr
0.834 0.166 0.500 Pr
0.500 0.500 0.500 Tm
0.092 0.418 0.251 Sb
0.259 0.259 0.753 Sb
0.418 0.092 0.251 Sb
0.582 0.908 0.749 Sb
0.741 0.741 0.247 Sb
0.908 0.582 0.749 Sb
```

SG: C2/m, No. 12
Density of states at the Fermi level: 20.04 states/eV/f.u.
Energy: -5.81 eV per atom
Uncorrected formation energy: -13.12 eV per formula unit
Density: 6.91 Mg/m³

=====

# 7
Density functional theory data (PBE) for CePr2TmSb4 after structural relaxation.

```
CePr2TmSb4
1.0
7.763 0.000 0.000
0.000 4.490 0.000
-2.590 0.000 7.336
Ce Pr Tm Sb
1 2 1 4
Direct
0.000 0.000 0.000 Ce
0.000 0.500 0.500 Pr
0.500 0.000 0.500 Pr
0.500 0.500 0.000 Tm
0.251 0.500 0.241 Sb
0.258 0.000 0.762 Sb
0.742 0.000 0.238 Sb
0.749 0.500 0.759 Sb
```

SG: P2/m, No. 10
Density of states at the Fermi level: 7.07 states/eV/f.u.
Energy: -5.68 eV per atom
Uncorrected formation energy: -8.95 eV per formula unit
Density: 7.00 Mg/m³

=====

# 8
Density functional theory data (PBE) for Ce3Pr2YSb6 after structural relaxation.

```
Ce3Pr2YSb6
1.0
3.899 -6.754 0.000
3.899 6.754 0.000
-2.602 0.000 7.356
Ce Pr Y Sb
3 2 1 6
Direct
0.000 0.000 0.000 Ce
0.331 0.669 0.000 Ce
0.669 0.331 0.000 Ce
0.166 0.834 0.500 Pr
0.834 0.166 0.500 Pr
0.500 0.500 0.500 Y
0.089 0.417 0.249 Sb
0.257 0.257 0.753 Sb
0.417 0.089 0.249 Sb
0.583 0.911 0.751 Sb
0.743 0.743 0.247 Sb
0.911 0.583 0.751 Sb
```

SG: C2/m, No. 12
Density of states at the Fermi level: 20.08 states/eV/f.u.
Energy: -5.99 eV per atom
Uncorrected formation energy: -13.36 eV per formula unit
Density: 6.52 Mg/m³

=====

# 9
Density functional theory data (PBE) for CePr2Sc after structural relaxation.

```
CePr2Sc
1.0
1.728 0.997 12.173
-1.728 0.997 12.173
0.000 -1.995 12.173
Ce Pr Sc
1 2 1
Direct
0.000 0.000 0.000 Ce
0.413 0.413 0.413 Pr
0.587 0.587 0.587 Pr
0.500 0.500 0.500 Sc
```

SG: R-3m, No. 166
E above lowest polymorph: 157 meV/atom
Density of states at the Fermi level: 7.68 states/eV/f.u.
Energy: -5.20 eV per atom
Density: 6.16 Mg/m³

=====

# 10
Density functional theory data (PBE) for CePrSc after structural relaxation.

```
CePrSc
1.0
3.468 0.000 0.000
-1.734 3.003 0.000
0.000 0.000 8.479
Ce Pr Sc
1 1 1
Direct
0.000 0.000 0.000 Ce
0.667 0.333 0.349 Pr
0.333 0.667 0.687 Sc
```

SG: P3m1, No. 156
E above lowest polymorph: 2 meV/atom
Density of states at the Fermi level: 6.93 states/eV/f.u.
Energy: -5.58 eV per atom
Density: 6.13 Mg/m³

=====

# 11
Density functional theory data (PBE) for CePr2Sc after structural relaxation.

```
CePr2Sc
1.0
0.000 4.000 4.000
4.000 0.000 4.000
4.000 4.000 0.000
Ce Pr Sc
1 2 1
Direct
0.000 0.000 0.000 Ce
0.250 0.250 0.250 Pr
0.750 0.750 0.750 Pr
0.500 0.500 0.500 Sc
```

SG: Fm-3m, No. 225
E above lowest polymorph: 103 meV/atom
Density of states at the Fermi level: 11.92 states/eV/f.u.
Energy: -5.26 eV per atom
Density: 6.06 Mg/m³

=====

# 12
Density functional theory data (PBE) for CePrSc2 after structural relaxation.

```
CePrSc2
1.0
0.000 3.860 3.860
3.860 0.000 3.860
3.860 3.860 0.000
Ce Pr Sc
1 1 2
Direct
0.000 0.000 0.000 Ce
0.500 0.500 0.500 Pr
0.250 0.250 0.250 Sc
0.750 0.750 0.750 Sc
```

SG: Fm-3m, No. 225
E above lowest polymorph: 38 meV/atom
Density of states at the Fermi level: 7.62 states/eV/f.u.
Energy: -5.73 eV per atom
Density: 5.36 Mg/m³

=====

# 13
Density functional theory data (PBE) for CePr2Sc after structural relaxation.

```
CePr2Sc
1.0
1.771 1.023 11.468
-1.771 1.023 11.468
0.000 -2.045 11.468
Ce Pr Sc
1 2 1
Direct
0.000 0.000 0.000 Ce
0.419 0.419 0.419 Pr
0.582 0.582 0.582 Pr
0.167 0.167 0.167 Sc
```

SG: R3m, No. 160
E above lowest polymorph: 6 meV/atom
Density of states at the Fermi level: 8.17 states/eV/f.u.
Energy: -5.35 eV per atom
Density: 6.22 Mg/m³

=====

# 14
Density functional theory data (PBE) for CePr2Sc after structural relaxation.

```
CePr2Sc
1.0
3.550 0.000 0.000
0.000 3.550 0.000
0.000 0.000 9.952
Ce Pr Sc
1 2 1
Direct
0.000 0.000 0.000 Ce
0.500 0.500 0.258 Pr
0.500 0.500 0.742 Pr
0.000 0.000 0.500 Sc
```

SG: P4/mmm, No. 123
E above lowest polymorph: 1 meV/atom
Density of states at the Fermi level: 9.48 states/eV/f.u.
Energy: -5.36 eV per atom
Density: 6.18 Mg/m³

=====

# 15
Density functional theory data (PBE) for CePr2Sc after structural relaxation.

```
CePr2Sc
1.0
5.046 0.000 0.000
0.000 5.046 0.000
0.000 0.000 4.927
Ce Pr Sc
1 2 1
Direct
0.000 0.000 0.000 Ce
0.000 0.500 0.500 Pr
0.500 0.000 0.500 Pr
0.500 0.500 0.000 Sc
```

SG: P4/mmm, No. 123
E above lowest polymorph: 0 meV/atom
Density of states at the Fermi level: 7.54 states/eV/f.u.
Energy: -5.36 eV per atom
Density: 6.18 Mg/m³

=====

# 16
Density functional theory data (PBE) for CePrSc after structural relaxation.

```
CePrSc
1.0
6.176 0.000 0.000
-3.088 5.348 0.000
0.000 0.000 17.131
Ce Pr Sc
6 6 6
Direct
0.000 0.500 0.350 Ce
0.000 0.500 0.983 Ce
0.500 0.000 0.317 Ce
0.500 0.000 0.683 Ce
0.500 0.500 0.017 Ce
0.500 0.500 0.650 Ce
0.311 0.655 0.167 Pr
0.345 0.655 0.833 Pr
0.345 0.689 0.500 Pr
0.655 0.311 0.500 Pr
0.655 0.345 0.833 Pr
0.689 0.345 0.167 Pr
0.000 0.000 0.167 Sc
0.000 0.000 0.500 Sc
0.000 0.000 0.833 Sc
0.000 0.500 0.667 Sc
0.500 0.000 0.000 Sc
0.500 0.500 0.333 Sc
```

SG: P6_222, No. 180
E above lowest polymorph: 310 meV/atom
Density of states at the Fermi level: 7.75 states/eV/f.u.
Energy: -5.27 eV per atom
Density: 5.74 Mg/m³

=====

# 17
Density functional theory data (PBE) for CePrSc2 after structural relaxation.

```
CePrSc2
1.0
1.717 0.991 10.917
-1.717 0.991 10.917
0.000 -1.983 10.917
Ce Pr Sc
1 1 2
Direct
0.000 0.000 0.000 Ce
0.500 0.500 0.500 Pr
0.253 0.253 0.253 Sc
0.747 0.747 0.747 Sc
```

SG: R-3m, No. 166
E above lowest polymorph: 7 meV/atom
Density of states at the Fermi level: 7.41 states/eV/f.u.
Energy: -5.76 eV per atom
Density: 5.52 Mg/m³

=====

# 18
Density functional theory data (PBE) for CePrSc2 after structural relaxation.

```
CePrSc2
1.0
5.541 0.000 0.000
0.000 5.541 0.000
0.000 0.000 3.749
Ce Pr Sc
1 1 2
Direct
0.000 0.000 0.000 Ce
0.500 0.500 0.000 Pr
0.000 0.500 0.500 Sc
0.500 0.000 0.500 Sc
```

SG: P4/mmm, No. 123
E above lowest polymorph: 39 meV/atom
Density of states at the Fermi level: 8.21 states/eV/f.u.
Energy: -5.73 eV per atom
Density: 5.35 Mg/m³

=====

# 19
Density functional theory data (PBE) for CePrSc2 after structural relaxation.

```
CePrSc2
1.0
1.706 0.985 11.148
-1.706 0.985 11.148
0.000 -1.970 11.148
Ce Pr Sc
1 1 2
Direct
0.000 0.000 0.000 Ce
0.834 0.834 0.834 Pr
0.251 0.251 0.251 Sc
0.415 0.415 0.415 Sc
```

SG: R3m, No. 160
E above lowest polymorph: 24 meV/atom
Density of states at the Fermi level: 8.57 states/eV/f.u.
Energy: -5.74 eV per atom
Density: 5.48 Mg/m³

=====

# 20
Density functional theory data (PBE) for CePrSc2 after structural relaxation.

```
CePrSc2
1.0
3.487 0.000 0.000
0.000 3.487 0.000
0.000 0.000 9.319
Ce Pr Sc
1 1 2
Direct
0.000 0.000 0.000 Ce
0.000 0.000 0.500 Pr
0.500 0.500 0.238 Sc
0.500 0.500 0.762 Sc
```

SG: P4/mmm, No. 123
E above lowest polymorph: 0 meV/atom
Density of states at the Fermi level: 6.95 states/eV/f.u.
Energy: -5.77 eV per atom
Density: 5.44 Mg/m³